# MoI2O2

MoI2O2 after structural relaxation (PBE+U, Alexandria).

Output
Space-group type ... No. 123
E ... -3.68 eV/atom
Total magnetic moment ... 0.52 μB/f.u.

Cell lengths 5.5147, 5.5147, 3.7981 Å; angles 90.00, 90.00, 90.00 degrees
Site moments in Bohr magnetons follow the coordinates.
Sites, in units of the cell vectors:
I  0.0000  0.5000  0.0000  -0.03
I  0.5000  0.0000  0.0000  -0.03
Mo  0.0000  0.0000  0.0000  0.60
O  0.5000  0.5000  0.5000  0.04
O  0.0000  0.0000  0.5000  -0.08